(1)
Density functional theory data (PBE-GGA) for an optimized crystal structure of Ce4Fe2Pb.

Cell: 6.9754 7.3595 7.4419 Å, 104.52 106.61 106.78°
Element x y z (fractional)
Ce 0.0000 0.0000 0.0000
Ce 0.0092 0.3106 0.3638
Ce 0.2671 0.2350 0.7042
Ce 0.4424 0.8826 0.9587
Ce 0.5270 0.3192 0.3422
Ce 0.5435 0.8860 0.5479
Ce 0.7416 0.6004 0.0590
Ce 0.7868 0.2946 0.6901
Fe 0.1700 0.9466 0.2535
Fe 0.5981 0.1762 0.9524
Fe 0.6295 0.6076 0.7567
Fe 0.8436 0.0161 0.3626
Pb 0.2276 0.5388 0.1089
Pb 0.9735 0.7471 0.5571

Calculated values
- E_form: -120 meV/atom
- DOS at the Fermi energy: 20.11 states/eV per cell



(2)
Density functional theory data (PBE-GGA) for an optimized crystal structure of CoPRh2.

Cell: 3.7651 3.7651 3.5481 Å, 90.00 90.00 90.00°
Element x y z (fractional)
Co 0.0000 0.0000 0.0000
P 0.5000 0.5000 0.0000
Rh 0.0000 0.5000 0.5000
Rh 0.5000 0.0000 0.5000

Calculated values
- E_form: -138 meV/atom
- DOS at the Fermi energy: 2.71 states/eV per cell



(3)
Density functional theory data (PBE-GGA) for an optimized crystal structure of TcAgRu2.

Cell: 2.7351 3.9564 5.5528 Å, 90.00 90.00 90.00°
Element x y z (fractional)
Tc 0.0000 0.0000 0.0000
Ag 0.5000 0.5000 0.2815
Ru 0.0000 0.0000 0.5513
Ru 0.5000 0.5000 0.7835

Calculated values
- E_form: 394 meV/atom
- DOS at the Fermi energy: 5.56 states/eV per cell
- Energy above the most stable polymorph in this dataset: 199 meV per atom



(4)
Density functional theory data (PBE-GGA) for an optimized crystal structure of P2S.

Cell: 5.0492 5.0492 7.0060 Å, 113.45 113.45 57.42°
Element x y z (fractional)
P 0.0193 0.4284 0.3376
P 0.4284 0.0193 0.8376
P 0.5716 0.9807 0.1624
P 0.9807 0.5716 0.6624
S 0.0401 0.9599 0.2500
S 0.9599 0.0401 0.7500

Calculated values
- Formation energy (no corrections): 0.26 eV/atom
- DOS at the Fermi energy: 1.78 states/eV per cell
- Energy above the most stable polymorph in this dataset: 235 meV per atom



(5)
Density functional theory data (PBE-GGA) for an optimized crystal structure of Rb4Tl5Au.

Cell: 8.5984 8.5984 8.5984 Å, 99.32 99.32 132.54°
Element x y z (fractional)
Rb 0.0000 0.2929 0.2929
Rb 0.0000 0.7071 0.7071
Rb 0.2929 0.0000 0.2929
Rb 0.7071 0.0000 0.7071
Tl 0.3207 0.3207 0.6959
Tl 0.3207 0.6248 0.0000
Tl 0.6248 0.3207 0.0000
Tl 0.6248 0.6248 0.3041
Tl 0.7753 0.7753 0.0000
Au 0.1937 0.1937 0.0000

Calculated values
- E_form: -96 meV/atom
- DOS at the Fermi energy: 4.65 states/eV per cell



(6)
Density functional theory data (PBE-GGA) for an optimized crystal structure of CoMoOs3.

Cell: 4.6409 4.6409 4.6409 Å, 90.00 90.00 90.00°
Element x y z (fractional)
Co 0.0000 0.0000 0.0000
Mo 0.5000 0.5000 0.5000
Os 0.0000 0.5000 0.5000
Os 0.5000 0.0000 0.5000
Os 0.5000 0.5000 0.0000

Calculated values
- E_form: 2635 meV/atom
- DOS at the Fermi energy: 33.23 states/eV per cell
- Energy above the most stable polymorph in this dataset: 863 meV per atom



(7)
Density functional theory data (PBE-GGA) for an optimized crystal structure of PmNd4Sm2.

Cell: 7.9222 7.9222 8.2209 Å, 90.28 90.28 90.00°
Element x y z (fractional)
Pm 0.0000 0.0000 0.0000
Pm 0.0000 0.0000 0.5000
Nd 0.2479 0.7471 0.7178
Nd 0.2500 0.2500 0.7180
Nd 0.2507 0.2507 0.2824
Nd 0.2529 0.7521 0.2822
Nd 0.7471 0.2479 0.7178
Nd 0.7493 0.7493 0.7176
Nd 0.7500 0.7500 0.2820
Nd 0.7521 0.2529 0.2822
Sm 0.0000 0.5000 0.0000
Sm 0.5000 0.0000 0.0000
Sm 0.5000 0.5000 0.0000
Sm 0.5000 0.5000 0.5000

Calculated values
- E_form: 286 meV/atom
- DOS at the Fermi energy: 24.87 states/eV per cell
- Energy above the most stable polymorph in this dataset: 38 meV per atom



(8)
Density functional theory data (PBE-GGA) for an optimized crystal structure of Ba2ScAs4Pd3.

Cell: 4.5299 4.5299 10.9529 Å, 90.00 90.00 90.00°
Element x y z (fractional)
Ba 0.0000 0.5000 0.2368
Ba 0.5000 0.0000 0.7632
Sc 0.0000 0.0000 0.5000
As 0.0000 0.0000 0.0000
As 0.0000 0.5000 0.6372
As 0.5000 0.0000 0.3628
As 0.5000 0.5000 0.0000
Pd 0.0000 0.5000 0.8886
Pd 0.5000 0.0000 0.1114
Pd 0.5000 0.5000 0.5000

Calculated values
- E_form: -912 meV/atom
- DOS at the Fermi energy: 4.52 states/eV per cell



(9)
Density functional theory data (PBE-GGA) for an optimized crystal structure of K5Rh2O5.

Cell: 6.1011 6.1011 11.4596 Å, 110.12 110.12 36.93°
Element x y z (fractional)
K 0.0000 0.0000 0.0000
K 0.5293 0.5293 0.2736
K 0.5780 0.5780 0.5821
K 0.7662 0.7662 0.1381
K 0.8684 0.8684 0.6813
Rh 0.2529 0.2529 0.8703
Rh 0.2624 0.2624 0.4140
O 0.1678 0.1678 0.2343
O 0.2230 0.2230 0.5663
O 0.3723 0.3723 0.0473
O 0.7383 0.7383 0.8474
O 0.8195 0.8195 0.4273

Calculated values
- Formation energy (no corrections): -0.90 eV/atom
- DOS at the Fermi energy: 4.13 states/eV per cell



(10)
Density functional theory data (PBE-GGA) for an optimized crystal structure of Al3Cu5.

Cell: 7.2621 7.2621 4.7386 Å, 90.00 90.00 120.00°
Element x y z (fractional)
Al 0.0000 0.3980 0.2500
Al 0.0000 0.6020 0.7500
Al 0.3980 0.0000 0.2500
Al 0.3980 0.3980 0.7500
Al 0.6020 0.0000 0.7500
Al 0.6020 0.6020 0.2500
Cu 0.0000 0.2203 0.7500
Cu 0.0000 0.7797 0.2500
Cu 0.2203 0.0000 0.7500
Cu 0.2203 0.2203 0.2500
Cu 0.3333 0.6667 0.0000
Cu 0.3333 0.6667 0.5000
Cu 0.6667 0.3333 0.0000
Cu 0.6667 0.3333 0.5000
Cu 0.7797 0.0000 0.2500
Cu 0.7797 0.7797 0.7500

Calculated values
- E_form: -75 meV/atom
- DOS at the Fermi energy: 3.92 states/eV per cell



(11)
Density functional theory data (PBE-GGA) for an optimized crystal structure of Pr3Tl.

Cell: 6.7836 6.7836 6.7836 Å, 148.30 64.12 125.85°
Element x y z (fractional)
Pr 0.0000 0.0000 0.0000
Pr 0.1455 0.3724 0.7731
Pr 0.5993 0.3724 0.2269
Tl 0.5421 0.0421 0.5000

Calculated values
- E_form: -190 meV/atom
- DOS at the Fermi energy: 4.96 states/eV per cell
- Energy above the most stable polymorph in this dataset: 20 meV per atom



(12)
Density functional theory data (PBE-GGA) for an optimized crystal structure of YGa4Ag2.

Cell: 9.9859 9.9859 9.9859 Å, 161.57 154.86 31.36°
Element x y z (fractional)
Y 0.0000 0.0000 0.0000
Ga 0.1497 0.6497 0.5000
Ga 0.4247 0.4247 0.0000
Ga 0.5753 0.5753 0.0000
Ga 0.8503 0.3503 0.5000
Ag 0.2910 0.7910 0.5000
Ag 0.7090 0.2090 0.5000

Calculated values
- E_form: -194 meV/atom
- DOS at the Fermi energy: 1.67 states/eV per cell



(13)
Density functional theory data (PBE-GGA) for an optimized crystal structure of Ba4ReAg.

Cell: 6.9798 6.9798 6.9798 Å, 60.00 60.00 60.00°
Element x y z (fractional)
Ba 0.1243 0.1243 0.1243
Ba 0.1243 0.1243 0.6271
Ba 0.1243 0.6271 0.1243
Ba 0.6271 0.1243 0.1243
Re 0.7500 0.7500 0.7500
Ag 0.5000 0.5000 0.5000

Calculated values
- E_form: 1301 meV/atom
- DOS at the Fermi energy: 7.70 states/eV per cell



(14)
Density functional theory data (PBE-GGA) for an optimized crystal structure of Li2OsW.

Cell: 9.6733 9.6733 9.6733 Å, 16.49 16.49 16.49°
Element x y z (fractional)
Li 0.0000 0.0000 0.0000
Li 0.2405 0.2405 0.2405
Os 0.4945 0.4945 0.4945
W 0.7534 0.7534 0.7534

Calculated values
- E_form: 187 meV/atom
- DOS at the Fermi energy: 0.80 states/eV per cell
- Energy above the most stable polymorph in this dataset: 0 meV per atom



(15)
Density functional theory data (PBE-GGA) for an optimized crystal structure of Ac2ErTl.

Cell: 3.9774 3.9774 9.4055 Å, 90.00 90.00 90.00°
Element x y z (fractional)
Ac 0.0000 0.0000 0.2355
Ac 0.0000 0.0000 0.7645
Er 0.5000 0.5000 0.5000
Tl 0.5000 0.5000 0.0000

Calculated values
- E_form: -95 meV/atom
- DOS at the Fermi energy: 6.50 states/eV per cell
- Energy above the most stable polymorph in this dataset: 0 meV per atom



(16)
Density functional theory data (PBE-GGA) for an optimized crystal structure of TmZrGa2.

Cell: 3.9048 5.6365 7.6588 Å, 90.00 90.00 90.00°
Element x y z (fractional)
Tm 0.0000 0.1285 0.0000
Tm 0.0000 0.8715 0.5000
Zr 0.5000 0.3713 0.6430
Zr 0.5000 0.6287 0.1430
Ga 0.0000 0.3962 0.3631
Ga 0.0000 0.6038 0.8632
Ga 0.5000 0.1195 0.2825
Ga 0.5000 0.8805 0.7825

Calculated values
- E_form: -585 meV/atom
- DOS at the Fermi energy: 6.75 states/eV per cell
- Energy above the most stable polymorph in this dataset: 3 meV per atom



(17)
Density functional theory data (PBE-GGA) for an optimized crystal structure of PrScAl2.

Cell: 5.0607 5.0607 5.0607 Å, 60.00 60.00 60.00°
Element x y z (fractional)
Pr 0.0000 0.0000 0.0000
Sc 0.5000 0.5000 0.5000
Al 0.2500 0.2500 0.2500
Al 0.7500 0.7500 0.7500

Calculated values
- E_form: -346 meV/atom
- DOS at the Fermi energy: 1.87 states/eV per cell
- Energy above the most stable polymorph in this dataset: 45 meV per atom



(18)
Density functional theory data (PBE-GGA) for an optimized crystal structure of Zr2InSb.

Cell: 3.7504 3.7504 6.4406 Å, 90.00 90.00 90.00°
Element x y z (fractional)
Zr 0.0000 0.0000 0.2445
Zr 0.0000 0.0000 0.7555
In 0.5000 0.5000 0.5000
Sb 0.5000 0.5000 0.0000

Calculated values
- Formation energy (no corrections): -0.34 eV/atom
- DOS at the Fermi energy: 4.08 states/eV per cell
- Energy above the most stable polymorph in this dataset: 45 meV per atom



(19)
Density functional theory data (PBE-GGA) for an optimized crystal structure of LiCaAcCd.

Cell: 5.6246 5.6246 5.6246 Å, 60.00 60.00 60.00°
Element x y z (fractional)
Li 0.0000 0.0000 0.0000
Ca 0.2500 0.2500 0.2500
Ac 0.7500 0.7500 0.7500
Cd 0.5000 0.5000 0.5000

Calculated values
- E_form: -166 meV/atom
- DOS at the Fermi energy: 2.92 states/eV per cell



(20)
Density functional theory data (PBE-GGA) for an optimized crystal structure of Sr3In5Cl12.

Cell: 15.1940 15.1940 15.1940 Å, 109.47 109.47 109.47°
Element x y z (fractional)
Sr 0.1250 0.2500 0.3750
Sr 0.1250 0.3750 0.7500
Sr 0.2500 0.3750 0.1250
Sr 0.2500 0.8750 0.6250
Sr 0.3750 0.1250 0.2500
Sr 0.3750 0.7500 0.1250
Sr 0.6250 0.2500 0.8750
Sr 0.6250 0.8750 0.7500
Sr 0.7500 0.1250 0.3750
Sr 0.7500 0.6250 0.8750
Sr 0.8750 0.6250 0.2500
Sr 0.8750 0.7500 0.6250
In 0.0000 0.0000 0.0000
In 0.0000 0.0000 0.5000
In 0.0000 0.5000 0.0000
In 0.0000 0.5000 0.5000
In 0.1250 0.7500 0.8750
In 0.1250 0.8750 0.2500
In 0.2500 0.1250 0.8750
In 0.2500 0.6250 0.3750
In 0.3750 0.2500 0.6250
In 0.3750 0.6250 0.7500
In 0.5000 0.0000 0.0000
In 0.5000 0.0000 0.5000
In 0.5000 0.5000 0.0000
In 0.5000 0.5000 0.5000
In 0.6250 0.3750 0.2500
In 0.6250 0.7500 0.3750
In 0.7500 0.3750 0.6250
In 0.7500 0.8750 0.1250
In 0.8750 0.1250 0.7500
In 0.8750 0.2500 0.1250
Cl 0.0622 0.2281 0.1328
Cl 0.0622 0.3341 0.9294
Cl 0.0706 0.6328 0.4047
Cl 0.0706 0.9378 0.6659
Cl 0.0953 0.7281 0.6659
Cl 0.0953 0.8672 0.4294
Cl 0.1328 0.0622 0.2281
Cl 0.1328 0.5706 0.9047
Cl 0.1659 0.2281 0.5953
Cl 0.1659 0.4378 0.5706
Cl 0.2281 0.1328 0.0622
Cl 0.2281 0.5953 0.1659
Cl 0.2719 0.3341 0.9047
Cl 0.2719 0.4378 0.3672
Cl 0.3341 0.9047 0.2719
Cl 0.3341 0.9294 0.0622
Cl 0.3672 0.2719 0.4378
Cl 0.3672 0.5953 0.9294
Cl 0.4047 0.0706 0.6328
Cl 0.4047 0.8341 0.7719
Cl 0.4294 0.0953 0.8672
Cl 0.4294 0.8341 0.5622
Cl 0.4378 0.3672 0.2719
Cl 0.4378 0.5706 0.1659
Cl 0.5622 0.4294 0.8341
Cl 0.5622 0.6328 0.7281
Cl 0.5706 0.1659 0.4378
Cl 0.5706 0.9047 0.1328
Cl 0.5953 0.1659 0.2281
Cl 0.5953 0.9294 0.3672
Cl 0.6328 0.4047 0.0706
Cl 0.6328 0.7281 0.5622
Cl 0.6659 0.0706 0.9378
Cl 0.6659 0.0953 0.7281
Cl 0.7281 0.5622 0.6328
Cl 0.7281 0.6659 0.0953
Cl 0.7719 0.4047 0.8341
Cl 0.7719 0.8672 0.9378
Cl 0.8341 0.5622 0.4294
Cl 0.8341 0.7719 0.4047
Cl 0.8672 0.4294 0.0953
Cl 0.8672 0.9378 0.7719
Cl 0.9047 0.1328 0.5706
Cl 0.9047 0.2719 0.3341
Cl 0.9294 0.0622 0.3341
Cl 0.9294 0.3672 0.5953
Cl 0.9378 0.6659 0.0706
Cl 0.9378 0.7719 0.8672

Calculated values
- Formation energy (no corrections): -1.44 eV/atom
- DOS at the Fermi energy: 23.29 states/eV per cell
- Energy above the most stable polymorph in this dataset: 99 meV per atom



(21)
Density functional theory data (PBE-GGA) for an optimized crystal structure of SrCa14Tm.

Cell: 12.7987 7.7609 7.7609 Å, 60.00 90.00 90.00°
Element x y z (fractional)
Sr 0.0000 0.0000 0.0000
Ca 0.0000 0.5017 0.9989
Ca 0.0000 0.9989 0.5017
Ca 0.2447 0.3353 0.3353
Ca 0.2486 0.3377 0.8286
Ca 0.2486 0.8286 0.3377
Ca 0.2527 0.8327 0.8327
Ca 0.5000 0.1670 0.1670
Ca 0.5000 0.1676 0.6653
Ca 0.5000 0.6653 0.1676
Ca 0.5000 0.6664 0.6664
Ca 0.7473 0.8327 0.8327
Ca 0.7514 0.3377 0.8286
Ca 0.7514 0.8286 0.3377
Ca 0.7553 0.3353 0.3353
Tm 0.0000 0.5003 0.5003

Calculated values
- E_form: 47 meV/atom
- DOS at the Fermi energy: 21.65 states/eV per cell